{
  "formula": "DyTm2Se",
  "functional": "GGA-PBE",
  "state": "optimized geometry",
  "e_above_lowest_polymorph_ev_per_atom": 0.000,
  "formation_energy_uncorrected_ev_per_atom": -0.788,
  "lattice": [[1.866, 1.077, 9.335], [-1.866, 1.077, 9.335], [0.000, -2.155, 9.335]],
  "species": ["Dy", "Tm", "Tm", "Se"],
  "fractional_positions": [[0.000, 0.000, 0.000], [0.567, 0.567, 0.567], [0.767, 0.767, 0.767], [0.167, 0.167, 0.167]]
}

=====

{
  "formula": "Li2Y2Ru",
  "functional": "GGA-PBE",
  "state": "optimized geometry",
  "e_above_lowest_polymorph_ev_per_atom": 0.246,
  "formation_energy_mev_per_atom": 181,
  "lattice": [[6.807, 0.000, 0.000], [0.000, 6.807, 0.000], [0.000, 0.000, 4.339]],
  "species": ["Li", "Li", "Li", "Li", "Y", "Y", "Y", "Y", "Ru", "Ru"],
  "fractional_positions": [[0.120, 0.380, 0.000], [0.380, 0.880, 0.000], [0.620, 0.120, 0.000], [0.880, 0.620, 0.000], [0.202, 0.702, 0.500], [0.298, 0.202, 0.500], [0.702, 0.798, 0.500], [0.798, 0.298, 0.500], [0.000, 0.000, 0.000], [0.500, 0.500, 0.000]]
}

=====

{
  "formula": "Cu2As",
  "functional": "GGA-PBE",
  "state": "optimized geometry",
  "formation_energy_mev_per_atom": 128,
  "lattice": [[6.302, 0.000, 0.000], [-3.151, 5.458, 0.000], [0.000, 0.000, 3.867]],
  "species": ["Cu", "Cu", "Cu", "Cu", "Cu", "Cu", "As", "As", "As"],
  "fractional_positions": [[0.000, 0.249, 0.000], [0.000, 0.600, 0.500], [0.249, 0.000, 0.000], [0.400, 0.400, 0.500], [0.600, 0.000, 0.500], [0.751, 0.751, 0.000], [0.000, 0.000, 0.500], [0.333, 0.667, 0.000], [0.667, 0.333, 0.000]]
}

=====

{
  "formula": "PaTl2CuO4",
  "functional": "GGA-PBE",
  "state": "optimized geometry",
  "formation_energy_uncorrected_ev_per_atom": -1.580,
  "lattice": [[-3.043, 3.043, 4.150], [3.043, -3.043, 4.150], [3.043, 3.043, -4.150]],
  "species": ["Pa", "Tl", "Tl", "Cu", "O", "O", "O", "O"],
  "fractional_positions": [[0.000, 0.000, 0.000], [0.250, 0.750, 0.500], [0.500, 0.500, 0.000], [0.750, 0.250, 0.500], [0.024, 0.623, 0.911], [0.377, 0.288, 0.401], [0.712, 0.113, 0.089], [0.887, 0.976, 0.599]]
}

=====

Number 1: calculated volume 112.6 Å³/cell, total magnetic moment 0.0756 μB/atom. Number 2: calculated volume 201.0 Å³/cell, total magnetic moment 0.0000 μB/atom. Number 3: calculated volume 133.0 Å³/cell, total magnetic moment 0.0000 μB/atom. Number 4: calculated volume 153.7 Å³/cell, total magnetic moment 0.0000 μB/atom.